Density functional theory data (PBE+U) for an optimized crystal structure of NbFePb2O6.

abc: 5.723 5.723 5.723
angles: 60.00 60.00 60.00
Fractional positions:
Nb1 0.000 0.000 0.000
Fe1 0.500 0.500 0.500
Pb1 0.250 0.250 0.250
Pb2 0.750 0.750 0.750
O1 0.249 0.249 0.751
O2 0.249 0.751 0.249
O3 0.249 0.751 0.751
O4 0.751 0.249 0.249
O5 0.751 0.249 0.751
O6 0.751 0.751 0.249

Results
- Space-group type: Fm-3m
- Magnetic moment: 5.009 μB per formula unit
- DOS at the Fermi energy: 0.0 states/eV/f.u.
- Total energy: -7.0050 eV per atom